Here is an optimized crystal structure of KCr2Ru from Alexandria via LeMat-Bulk. Energies are from GGA-PBE.

Crystal system: cubic
Distance to the lowest polymorph of the same formula (eV/atom): 0.9019
Space-group type: No. 225
Energy (eV per cell): -23.1

a b c (Å): 4.426 4.426 4.426
angles (deg): 60.00 60.00 60.00
Element x y z (fractional)
1 K 0.000 0.000 0.000
2 Cr 0.750 0.750 0.750
3 Cr 0.250 0.250 0.250
4 Ru 0.500 0.500 0.500